The following is a DFT calculation (PBE) of KScNiSe3 after structural relaxation.

Calculated values
- ΔE_f (raw): -6.8 eV/f.u.

a = 3.912 Å, b = 8.926 Å, c = 9.526 Å
α = 110.57°, β = 90.00°, γ = 90.00°
Each line ends with the local moment (μB).
Positions (direct):
Ni 0.250 0.079 0.595  0.69
Se 0.250 0.120 0.858  0.08
Se 0.750 0.880 0.142  0.08
Ni 0.750 0.921 0.405  0.69
K 0.750 0.796 0.766  0.00
Se 0.750 0.198 0.543  0.14
Se 0.250 0.802 0.457  0.14
Sc 0.250 0.669 0.139  0.01
Sc 0.750 0.331 0.861  0.01
Se 0.750 0.465 0.161  0.01
K 0.250 0.204 0.234  0.00
Se 0.250 0.535 0.839  0.01

=====

The following is a DFT calculation (PBE) of RbYHf after structural relaxation.

Calculated values
- ΔE to the lowest computed polymorph: 450 meV/atom
- Formation enthalpy at 0 K: 0.696 eV per atom

a = 12.499 Å, b = 3.364 Å, c = 10.898 Å
α = 90.00°, β = 90.00°, γ = 90.00°
Positions (direct):
Rb 0.353 0.250 0.071
Rb 0.647 0.750 0.929
Hf 0.575 0.750 0.574
Hf 0.425 0.250 0.426
Rb 0.147 0.750 0.571
Rb 0.853 0.250 0.429
Hf 0.075 0.750 0.926
Y 0.101 0.750 0.215
Y 0.899 0.250 0.785
Y 0.601 0.750 0.285
Hf 0.925 0.250 0.074
Y 0.399 0.250 0.715

=====

The following is a DFT calculation (PBE) of UCoCuSn after structural relaxation.

Calculated values
- Formation enthalpy at 0 K: -0.016 eV per atom

a = 4.625 Å, b = 4.625 Å, c = 4.625 Å
α = 60.00°, β = 60.00°, γ = 60.00°
Each line ends with the local moment (μB).
Positions (direct):
Co 0.000 0.000 0.000  0.79
U 0.750 0.750 0.750  -1.85
Sn 0.250 0.250 0.250  0.01
Cu 0.500 0.500 0.500  0.02

=====

The following is a DFT calculation (PBE) of AlRe2W after structural relaxation.

Calculated values
- Formation enthalpy at 0 K: 0.111 eV per atom

a = 2.721 Å, b = 2.721 Å, c = 8.818 Å
α = 90.00°, β = 90.00°, γ = 111.08°
Positions (direct):
W 0.000 0.000 0.502
Re 0.000 0.000 0.997
Re 0.500 0.500 0.248
Al 0.500 0.500 0.753

=====

What are the V values for these records? In order: 25.950 38.190 17.489 15.228 A^3/atom.
What are the E_tot values for these records? In order: -5.073 -5.099 -6.639 -10.287 eV per atom.